Entry from Alexandria via LeMat-Bulk: a relaxed structure of SrTlWO2 (GGA+U).

Cell and atoms, written as CIF:
```
data_SrTlWO2
_cell_length_a 4.618
_cell_length_b 4.618
_cell_length_c 6.676
_cell_angle_alpha 90.00
_cell_angle_beta 90.00
_cell_angle_gamma 90.00
_space_group_name_H-M_alt 'P 4/m m m'
_space_group_IT_number 123
_space_group_name_Hall '-P 4 2'
loop_
_atom_site_label
_atom_site_type_symbol
_atom_site_fract_x
_atom_site_fract_y
_atom_site_fract_z
Sr1 Sr 0.000 0.000 0.000
Tl1 Tl 0.500 0.500 0.500
W1 W 0.000 0.000 0.500
O1 O 0.000 0.500 0.000
```

Output
total moment = 5.9 μB per formula unit
crystal system = tetragonal
calculated density = 5.9 g/cm3
total energy = -3.89 eV per atom